Compound: YSn3Pd
Source: Alexandria
Functional: PBE
Structure: optimized geometry

Cell lengths 5.212, 5.212, 5.212 Å; angles 90.00, 90.00, 90.00 degrees
Fractional coordinates of all 5 atoms:
Y: 0.000 0.000 0.000
Sn: 0.000 0.500 0.500
Sn: 0.500 0.000 0.500
Sn: 0.500 0.500 0.000
Pd: 0.500 0.500 0.500

Formation energy from the elements in meV/atom: -73.6
Theoretical density in g cm⁻³: 6.47
E in eV for the cell shown: -24.03
DOS(E_F) in states/eV/f.u.: 3.69
Polymorph energy (0 for the lowest one) in kJ per mole of atoms: 35.1
Total moment in μB per cell: 0.000
Symmetry: No. 221